1.
PmSmErTh | PBE | optimized geometry

## Properties
* E above lowest polymorph: 0.1530 eV per atom

Cell: 5.709 5.709 5.709 Å, 60.00 60.00 60.00°
Fractional positions:
Pm (0.000, 0.000, 0.000)
Sm (0.250, 0.250, 0.250)
Er (0.500, 0.500, 0.500)
Th (0.750, 0.750, 0.750)

2.
Pm3SmEr6Th2 | PBE | optimized geometry

Cell: 6.193 6.193 11.706 Å, 95.07 95.07 119.98°
Fractional positions:
Pm (0.000, 0.000, 0.000)
Pm (0.334, 0.666, 0.000)
Pm (0.666, 0.334, 0.000)
Sm (0.500, 0.500, 0.500)
Er (0.080, 0.418, 0.254)
Er (0.244, 0.244, 0.746)
Er (0.418, 0.080, 0.254)
Er (0.582, 0.920, 0.746)
Er (0.756, 0.756, 0.254)
Er (0.920, 0.582, 0.746)
Th (0.167, 0.833, 0.500)
Th (0.833, 0.167, 0.500)

Q: Which final energy values were calculated for the entries above? A: -0.19090 -0.18656, in hartree per atom.
Q: Which energy relative to the elements values were calculated for the entries above? A: 168 22, in meV per atom.